# 1
A plane-wave DFT calculation with SCAN was carried out for a crystal of NbFeHgF2 relaxed with PBEsol.

Structure (POSCAR):
```
NbFeHgF2
1.0
3.9174 0.0000 0.0000
0.0000 3.9174 0.0000
0.0000 0.0000 5.6469
Nb Fe Hg F
1 1 1 2
direct
0.0000 0.0000 0.0000 Nb
0.5000 0.5000 0.5000 Fe
0.5000 0.5000 0.0000 Hg
0.0000 0.5000 0.5000 F
0.5000 0.0000 0.5000 F
```

Results
The calculation puts the calculated volume at 17.33 Å³/atom. The value obtained for the size of the total moment is 6.544 μB per formula unit. The value obtained for the electronic total energy is -129.5 eV/cell. As for the crystal system: tetragonal. Its formation energy (no corrections) is -0.60 eV per atom.

***

# 2
A plane-wave DFT calculation with SCAN was carried out for a crystal of CaAlHg2 relaxed with PBEsol.

Structure (POSCAR):
```
CaAlHg2
1.0
4.5475 0.0000 0.0000
-2.2738 3.9383 0.0000
0.0000 0.0000 15.5766
Ca Al Hg
3 3 6
direct
0.0000 0.0000 0.0000 Ca
0.3333 0.6667 0.6667 Ca
0.6667 0.3333 0.3333 Ca
0.0000 0.0000 0.5000 Al
0.3333 0.6667 0.1667 Al
0.6667 0.3333 0.8333 Al
0.0000 0.0000 0.2250 Hg
0.0000 0.0000 0.7750 Hg
0.3333 0.6667 0.4417 Hg
0.3333 0.6667 0.8916 Hg
0.6667 0.3333 0.1084 Hg
0.6667 0.3333 0.5583 Hg
```

Results
The calculation puts the calculated volume at 23.25 Å³/atom. The value obtained for the size of the total moment is 0.000 μB per formula unit. The value obtained for the electronic total energy is -466.9 eV/cell. As for the crystal system: trigonal.

***

# 3
A plane-wave DFT calculation with SCAN was carried out for a crystal of SbMoP2 relaxed with PBEsol.

Structure (POSCAR):
```
SbMoP2
1.0
6.3847 0.0000 0.0000
0.0000 6.3847 0.0000
0.0000 0.0000 6.3847
Sb Mo P
4 4 8
direct
0.0000 0.0000 0.0000 Sb
0.0000 0.5000 0.5000 Sb
0.5000 0.0000 0.5000 Sb
0.5000 0.5000 0.0000 Sb
0.2500 0.2500 0.2500 Mo
0.2500 0.7500 0.7500 Mo
0.7500 0.2500 0.7500 Mo
0.7500 0.7500 0.2500 Mo
0.0000 0.0000 0.5000 P
0.0000 0.5000 0.0000 P
0.2500 0.2500 0.7500 P
0.2500 0.7500 0.2500 P
0.5000 0.0000 0.0000 P
0.5000 0.5000 0.5000 P
0.7500 0.2500 0.2500 P
0.7500 0.7500 0.7500 P
```

Results
The calculation puts the calculated volume at 16.27 Å³/atom. The value obtained for the size of the total moment is 0.000 μB per formula unit. The value obtained for the electronic total energy is -359.2 eV/cell. As for the crystal system: cubic. Its formation energy (no corrections) is 0.78 eV per atom.

***

# 4
A plane-wave DFT calculation with SCAN was carried out for a crystal of SbPb2Se relaxed with PBEsol.

Structure (POSCAR):
```
SbPb2Se
1.0
11.8932 0.0000 0.0000
0.0000 3.7085 0.0000
-2.4617 0.0000 4.8277
Sb Pb Se
2 4 2
direct
0.0000 0.0000 0.0000 Sb
0.5000 0.5000 0.0000 Sb
0.2306 0.0000 0.7305 Pb
0.2694 0.5000 0.2695 Pb
0.7306 0.5000 0.7305 Pb
0.7694 0.0000 0.2695 Pb
0.0000 0.5000 0.5000 Se
0.5000 0.0000 0.5000 Se
```

Results
The calculation puts the calculated volume at 26.62 Å³/atom. The value obtained for the size of the total moment is 0.000 μB per formula unit. The value obtained for the electronic total energy is -417.2 eV/cell. As for the crystal system: monoclinic. Its formation energy (no corrections) is 0.07 eV per atom.